This record from Alexandria via LeMat-Bulk describes a relaxed structure of Rb4ScPa3O12. The functional is GGA-PBE.

Values from the calculation:
M_tot: 2.00 μB per cell
Raw formation energy: -2.80 eV/atom
Raw total energy: -7.71 eV/atom

a = 7.5767 Å, b = 7.5767 Å, c = 7.5767 Å
α = 109.47°, β = 109.47°, γ = 109.47°
Last column: nearest neighbours and their distance in Å.
Positions (direct):
Rb1 0.0000 0.0000 0.5000  12 O 3.09
Rb2 0.0000 0.5000 0.0000  12 O 3.09
Rb3 0.5000 0.0000 0.0000  12 O 3.09
Rb4 0.5000 0.5000 0.5000  12 O 3.09
Sc1 0.0000 0.0000 0.0000  6 O 2.21
Pa1 0.0000 0.5000 0.5000  6 O 2.17-2.19
Pa2 0.5000 0.0000 0.5000  6 O 2.17-2.19
Pa3 0.5000 0.5000 0.0000  6 O 2.17-2.19
O1 0.0000 0.2523 0.2523  1 Pa 2.17, 1 Sc 2.21
O2 0.0000 0.7477 0.7477  1 Pa 2.17, 1 Sc 2.21
O3 0.2500 0.5000 0.7500  2 Pa 2.19
O4 0.2500 0.7500 0.5000  2 Pa 2.19
O5 0.2523 0.0000 0.2523  1 Pa 2.17, 1 Sc 2.21
O6 0.2523 0.2523 0.0000  1 Pa 2.17, 1 Sc 2.21
O7 0.5000 0.2500 0.7500  2 Pa 2.19
O8 0.5000 0.7500 0.2500  2 Pa 2.19
O9 0.7477 0.0000 0.7477  1 Pa 2.17, 1 Sc 2.21
O10 0.7477 0.7477 0.0000  1 Pa 2.17, 1 Sc 2.21
O11 0.7500 0.2500 0.5000  2 Pa 2.19
O12 0.7500 0.5000 0.2500  2 Pa 2.19